TiTcMo | PBE | relaxed

The structure in POSCAR format:
```
TiTcMo
1.0
5.381 0.000 0.000
0.000 4.442 0.000
0.000 0.000 7.806
Ti Tc Mo
4 4 4
Cartesian
0.095 1.110 1.918
2.595 3.331 5.821
2.785 1.110 1.985
5.286 3.331 5.889
0.935 1.110 7.224
1.756 3.331 3.320
3.625 1.110 4.486
4.446 3.331 0.583
0.913 1.110 4.579
1.778 3.331 0.676
3.603 1.110 7.131
4.468 3.331 3.227
```

* offset from the most stable computed form: 0.261 eV per atom
* space group: No. 62
* N(E_F): 3.44 states/eV/f.u.
* M_tot: 0.0 μB per cell